Material: ZrTe2Br
Method: DFT, GGA-PBE
State: optimized geometry

Properties
**Density of states at the Fermi level**: 1.82 states/eV per cell
**Energy relative to the lowest polymorph listed for this composition**: 37 meV per atom
**Raw formation energy**: -0.70 eV per atom

a = 4.0408 Å, b = 6.6634 Å, c = 6.2491 Å
α = 50.17°, β = 90.00°, γ = 90.00°
With the nearest neighbours (Å) after each atom.
Positions (direct):
1 Te 0.0000 0.0829 0.0603  2 Zr 2.90, 1 Te 2.99
2 Te 0.0000 0.4171 0.4397  2 Zr 2.90, 1 Te 2.99
3 Br 0.5000 0.7500 0.7500  2 Zr 2.74
4 Zr 0.5000 0.2500 0.2500  2 Br 2.74, 4 Te 2.90

---

Material: CaGaCu2F8
Method: DFT, GGA-PBE
State: optimized geometry

Properties
**Density of states at the Fermi level**: 5.26 states/eV per cell
**Raw formation energy**: -2.40 eV per atom

a = 4.8933 Å, b = 4.9086 Å, c = 6.7313 Å
α = 85.63°, β = 85.90°, γ = 88.62°
With the nearest neighbours (Å) after each atom.
Positions (direct):
1 F 0.1923 0.8124 0.7862  1 Ga 1.94, 1 Cu 2.14
2 F 0.6802 0.6852 0.5296  1 Cu 1.96
3 F 0.2763 0.2739 0.9784  1 Ga 1.92, 1 Cu 1.98
4 F 0.8141 0.1939 0.7846  1 Ga 1.94, 1 Cu 2.14
5 F 0.8077 0.1876 0.2138  1 Ga 1.94, 1 Cu 2.14
6 F 0.7237 0.7261 0.0216  1 Ga 1.92, 1 Cu 1.98
7 F 0.3198 0.3148 0.4704  1 Cu 1.96
8 F 0.1859 0.8061 0.2154  1 Ga 1.94, 1 Cu 2.14
9 Cu 0.4833 0.4837 0.7561  4 F 1.96-2.14
10 Cu 0.5167 0.5163 0.2439  4 F 1.96-2.14
11 Ca 0.0000 0.0000 0.5000  6 F 2.21-2.32
12 Ga 0.0000 0.0000 0.0000  6 F 1.92-1.94

---

Material: Sr2SmMg
Method: DFT, GGA-PBE
State: optimized geometry

Properties
**Density of states at the Fermi level**: 4.24 states/eV per cell
**Energy of formation from the pure elements**: 129 meV/atom
**Energy relative to the lowest polymorph listed for this composition**: 0 meV per atom

a = 4.4290 Å, b = 4.4290 Å, c = 8.0339 Å
α = 90.00°, β = 90.00°, γ = 90.00°
With the nearest neighbours (Å) after each atom.
Positions (direct):
1 Sm 0.5000 0.5000 0.5000  8 Sr 3.77, 2 Mg 4.02
2 Sr 0.0000 0.0000 0.2383  4 Mg 3.67, 4 Sm 3.77, 1 Sr 3.83
3 Sr 0.0000 0.0000 0.7617  4 Mg 3.67, 4 Sm 3.77, 1 Sr 3.83
4 Mg 0.5000 0.5000 0.0000  8 Sr 3.67, 2 Sm 4.02

---

Material: NbZnRu
Method: DFT, GGA-PBE
State: optimized geometry

Properties
**Density of states at the Fermi level**: 2.39 states/eV per cell
**Energy of formation from the pure elements**: -104 meV/atom

a = 2.8090 Å, b = 4.3833 Å, c = 4.3833 Å
α = 120.00°, β = 90.00°, γ = 90.00°
With the nearest neighbours (Å) after each atom.
Positions (direct):
1 Zn 0.0463 0.0000 0.0000  3 Ru 2.66, 3 Nb 2.80, 2 Zn 2.81
2 Nb 0.6182 0.3333 0.6667  3 Ru 2.65, 3 Zn 2.80, 2 Nb 2.81
3 Ru 0.3355 0.6667 0.3333  3 Nb 2.65, 3 Zn 2.66, 2 Ru 2.81

---

Material: K3VP
Method: DFT, GGA-PBE
State: optimized geometry

Properties
**Density of states at the Fermi level**: 16.67 states/eV per cell
**Energy of formation from the pure elements**: 793 meV/atom

a = 6.2597 Å, b = 6.2597 Å, c = 6.2597 Å
α = 90.00°, β = 90.00°, γ = 90.00°
With the nearest neighbours (Å) after each atom.
Positions (direct):
1 V 0.5000 0.5000 0.5000  12 K 4.43
2 P 0.0000 0.0000 0.0000  6 K 3.13
3 K 0.0000 0.5000 0.0000  2 P 3.13
4 K 0.5000 0.0000 0.0000  2 P 3.13
5 K 0.0000 0.0000 0.5000  2 P 3.13

---

Material: Sr2Ga2P
Method: DFT, GGA-PBE
State: optimized geometry

Properties
**Density of states at the Fermi level**: 2.65 states/eV per cell
**Energy of formation from the pure elements**: -566 meV/atom
**Energy relative to the lowest polymorph listed for this composition**: 0 meV per atom

a = 4.2724 Å, b = 4.0117 Å, c = 7.9879 Å
α = 104.54°, β = 90.00°, γ = 90.00°
With the nearest neighbours (Å) after each atom.
Positions (direct):
1 Ga 0.5000 0.5085 0.0170  2 P 2.47
2 Ga 0.5000 0.3203 0.6406  1 Ga 2.91
3 P 0.5000 0.1015 0.2029  2 Ga 2.47
4 Sr 0.0000 0.9303 0.8605  8 Ga 3.17-3.39, 2 P 3.40
5 Sr 0.0000 0.6816 0.3632  4 P 3.18, 2 Ga 3.42

---

Material: Sr2CdGa3Cu4
Method: DFT, GGA-PBE
State: optimized geometry

Properties
**Density of states at the Fermi level**: 6.62 states/eV per cell
**Energy of formation from the pure elements**: -243 meV/atom

a = 4.3654 Å, b = 4.3654 Å, c = 10.5844 Å
α = 90.00°, β = 90.00°, γ = 90.00°
With the nearest neighbours (Å) after each atom.
Positions (direct):
1 Cu 0.0000 0.0000 0.0000  4 Ga 2.50
2 Cu 0.5000 0.0000 0.6464  3 Ga 2.52-2.68, 2 Cd 2.68
3 Cu 0.0000 0.5000 0.3536  3 Ga 2.52-2.68, 2 Cd 2.68
4 Cu 0.5000 0.5000 0.0000  4 Ga 2.50
5 Ga 0.5000 0.0000 0.8844  5 Cu 2.50-2.52
6 Ga 0.0000 0.5000 0.1156  5 Cu 2.50-2.52
7 Ga 0.0000 0.0000 0.5000  4 Cu 2.68
8 Cd 0.5000 0.5000 0.5000  4 Cu 2.68
9 Sr 0.0000 0.5000 0.7613  8 Cu 3.32-3.34, 6 Ga 3.35-3.52, 2 Cd 3.52
10 Sr 0.5000 0.0000 0.2387  8 Cu 3.32-3.34, 6 Ga 3.35-3.52, 2 Cd 3.52

---

Material: Nd6TeP3S2
Method: DFT, GGA-PBE
State: optimized geometry

Properties
**Density of states at the Fermi level**: 4.24 states/eV per cell
**Raw formation energy**: -1.73 eV per atom

a = 4.1760 Å, b = 8.4563 Å, c = 9.4181 Å
α = 103.78°, β = 102.81°, γ = 90.00°
With the nearest neighbours (Å) after each atom.
Positions (direct):
1 S 0.8316 0.6652 0.6631  6 Nd 2.97-3.03
2 S 0.1684 0.3348 0.3369  6 Nd 2.97-3.03
3 Nd 0.3349 0.4121 0.6698  3 P 2.93-2.94, 3 S 2.97-3.00
4 Nd 0.0010 0.7269 0.0020  3 P 2.83-2.92, 1 S 3.03, 2 Te 3.12
5 Nd 0.3245 0.9182 0.6489  3 P 2.84-2.95, 2 S 3.02, 1 Te 3.13
6 Nd 0.6651 0.5879 0.3302  3 P 2.93-2.94, 3 S 2.97-3.00
7 Nd 0.6755 0.0818 0.3511  3 P 2.84-2.95, 2 S 3.02, 1 Te 3.13
8 Nd 0.9990 0.2731 0.9980  3 P 2.83-2.92, 1 S 3.03, 2 Te 3.12
9 P 0.1648 0.8312 0.3295  6 Nd 2.84-2.95
10 P 0.8352 0.1688 0.6705  6 Nd 2.84-2.95
11 P 0.5000 0.5000 0.0000  6 Nd 2.83-2.94
12 Te 0.5000 0.0000 0.0000  6 Nd 3.12-3.13

---

Material: CdAs3H
Method: DFT, GGA-PBE
State: optimized geometry

Properties
**Density of states at the Fermi level**: 4.18 states/eV per cell
**Energy relative to the lowest polymorph listed for this composition**: 861 meV per atom

a = 5.2203 Å, b = 5.2203 Å, c = 5.2203 Å
α = 90.00°, β = 90.00°, γ = 90.00°
With the nearest neighbours (Å) after each atom.
Positions (direct):
1 Cd 0.0000 0.0000 0.0000  6 As 2.61
2 As 0.0000 0.0000 0.5000  2 Cd 2.61
3 As 0.0000 0.5000 0.0000  2 Cd 2.61
4 As 0.5000 0.0000 0.0000  2 Cd 2.61
5 H 0.5000 0.5000 0.5000  12 As 3.69

---

Material: RbPm2Tl
Method: DFT, GGA-PBE
State: optimized geometry

Properties
**Density of states at the Fermi level**: 5.39 states/eV per cell
**Energy of formation from the pure elements**: 163 meV/atom

a = 3.8327 Å, b = 3.8327 Å, c = 12.9218 Å
α = 81.47°, β = 81.47°, γ = 60.00°
With the nearest neighbours (Å) after each atom.
Positions (direct):
1 Pm 0.1037 0.1037 0.6889  3 Tl 3.27
2 Pm 0.8963 0.8963 0.3111  3 Tl 3.27
3 Tl 0.5000 0.5000 0.5000  6 Pm 3.27
4 Rb 0.0000 0.0000 0.0000  6 Rb 3.83, 2 Pm 3.96